This record from Alexandria describes a geometry-optimized Sc6BeIr5 structure. The functional is PBE.

The structure belongs to space group Immm (No. 71); the cell edges are 4.5871, 6.3511 and 13.8174 Å and the angles 90.00°, 90.00° and 90.00°. The asymmetric unit holds Sc at (0.0000, 0.2487, 0.0000), Sc at (0.0000, 0.2508, 0.3339), Be at (0.0000, 0.5000, 0.5000), Ir at (0.0000, 0.0000, 0.1655), Ir at (0.0000, 0.0000, 0.5000) and Ir at (0.0000, 0.5000, 0.1665).

The calculation puts the energy at -8.045 eV per atom. The density of states at the Fermi level is 0.3670 states/eV/atom.